[1]
VASP calculation (PBE) on a geometry-optimized Li2InSbTe structure.

a b c (Å): 5.125 5.125 6.191
angles (deg): 90.00 90.00 90.00
Space group P4/mmm (No. 123)
One atom of each set of equivalent atoms:
Li  0.000  0.500  0.000 (multiplicity 2)
In  0.000  0.000  0.500 (multiplicity 1)
Sb  0.500  0.500  0.000 (multiplicity 1)
Te  0.500  0.500  0.500 (multiplicity 1)

Results
Electronic total energy in eV/f.u.: -14.5
Magnetic moment in Bohr magnetons per cell: 0.00



[2]
VASP calculation (PBE) on a geometry-optimized NbOsCl2 structure.

a b c (Å): 3.0418 3.0418 24.7304
angles (deg): 90.00 90.00 120.00
Space group R-3m (No. 166, hexagonal axes)
One atom of each set of equivalent atoms:
Nb  0.0000  0.0000  0.0000 (multiplicity 3)
Os  0.0000  0.0000  0.5000 (multiplicity 3)
Cl  0.0000  0.0000  0.4074 (multiplicity 6)

Results
Energy above the lowest structure with this stoichiometry in kcal/mol of atoms: 0.000
Electronic total energy in eV/f.u.: -24.1
Magnetic moment in Bohr magnetons per cell: 0.00